Below is NaV2AsO8 after structural relaxation, with properties calculated at the PBE with a Hubbard U level.

a = 8.600 Å, b = 5.563 Å, c = 6.943 Å
α = 90.00°, β = 90.46°, γ = 90.00°
Space group C2/m (No. 12)
Unique sites:
Na  0.000  0.000  0.000
V  0.142  0.500  0.713
As  0.000  0.000  0.500
O  0.024  0.230  0.691
O  0.213  0.000  0.461
O  0.216  0.500  0.930

Summary:
Total energy: -160.78 eV for the cell shown